1.
# Mg2BOs2

An optimized crystal structure of Mg2BOs2 (PBEsol, Alexandria via LeMat-Bulk).

a b c (Å): 5.6812 5.6812 4.4643
angles (deg): 90.00 90.00 90.00
Element x y z (fractional)
Mg: 0.1670 0.3330 0.0000
Mg: 0.3330 0.8330 0.0000
Mg: 0.6670 0.1670 0.0000
Mg: 0.8330 0.6670 0.0000
B: 0.0000 0.0000 0.5000
B: 0.5000 0.5000 0.5000
Os: 0.1540 0.6540 0.5000
Os: 0.3460 0.1540 0.5000
Os: 0.6540 0.8460 0.5000
Os: 0.8460 0.3460 0.5000

Computed properties:
space-group type: P4/mbm (127)
DOS(E_F): 7.8 states/eV/cell


2.
# Mg2BOsPd

An optimized crystal structure of Mg2BOsPd (PBEsol, Alexandria via LeMat-Bulk).

a b c (Å): 4.3568 4.3568 3.9520
angles (deg): 90.00 90.00 90.00
Element x y z (fractional)
Mg: 0.0000 0.5000 0.0000
Mg: 0.5000 0.0000 0.0000
B: 0.0000 0.0000 0.0000
Os: 0.0000 0.0000 0.5000
Pd: 0.5000 0.5000 0.5000

Computed properties:
space-group type: P4/mmm (123)
DOS(E_F): 3.3 states/eV/cell


3.
# YMg2BOs

An optimized crystal structure of YMg2BOs (PBEsol, Alexandria via LeMat-Bulk).

a b c (Å): 4.8704 4.8704 4.1336
angles (deg): 90.00 90.00 90.00
Element x y z (fractional)
Y: 0.0000 0.0000 0.0000
Mg: 0.0000 0.5000 0.5000
Mg: 0.5000 0.0000 0.5000
B: 0.5000 0.5000 0.0000
Os: 0.5000 0.5000 0.5000

Computed properties:
space-group type: P4/mmm (123)
DOS(E_F): 2.7 states/eV/cell


The calculation returns the following formation enthalpy at 0 K values, one per record and in order: 0.005; 0.155; 0.357 eV/atom.